1.
## Pr4Ga2Si5 (GGA-PBE)

Data for Pr4Ga2Si5 after structural relaxation.

The calculation puts the formation energy (no corrections) at -0.64 eV/atom. Its total energy is -59.28 eV/cell. As for the crystal system: monoclinic.

The space group is P2/m (No. 10) and the conventional cell measures 6.987, 4.402 and 8.049 Å, with angles of 90.00, 91.40 and 90.00 degrees. The inequivalent atoms are Pr at (0.239, 0.000, 0.129), Pr at (0.255, 0.000, 0.628), Ga at (0.088, 0.500, 0.371), Si at (0.111, 0.500, 0.886), Si at (0.439, 0.500, 0.355) and Si at (0.500, 0.500, 0.000).

2.
## Pr6GaSi3 (GGA-PBE)

Data for Pr6GaSi3 after structural relaxation.

The calculation puts the formation energy (no corrections) at -0.41 eV/atom. Its total energy is -104.15 eV/cell. As for the crystal system: monoclinic.

The space group is P2_1/c (No. 14) and the conventional cell measures 6.211, 8.455 and 12.789 Å, with angles of 90.00, 118.52 and 90.00 degrees. The inequivalent atoms are Pr at (0.050, 0.169, 0.425), Pr at (0.303, 0.677, 0.424), Pr at (0.387, 0.051, 0.253), Ga at (0.000, 0.000, 0.000), Si at (0.157, 0.115, 0.754) and Si at (0.500, 0.000, 0.500).

3.
## PrGa2Si (GGA-PBE)

Data for PrGa2Si after structural relaxation.

The calculation puts the formation energy (no corrections) at -0.39 eV/atom. Its total energy is -17.82 eV/cell. As for the crystal system: tetragonal.

The space group is P4/mmm (No. 123) and the conventional cell measures 4.316, 4.316 and 4.468 Å, with angles of 90.00, 90.00 and 90.00 degrees. The inequivalent atoms are Pr at (0.000, 0.000, 0.000), Ga at (0.000, 0.500, 0.500) and Si at (0.500, 0.500, 0.000).

4.
## Pr3Ga2Si3 (GGA-PBE)

Data for Pr3Ga2Si3 after structural relaxation.

The calculation puts the formation energy (no corrections) at -0.64 eV/atom. Its total energy is -167.20 eV/cell. As for the crystal system: orthorhombic.

The space group is Cmcm (No. 63) and the conventional cell measures 4.199, 11.188 and 15.518 Å, with angles of 90.00, 90.00 and 90.00 degrees. The inequivalent atoms are Pr at (0.000, 0.054, 0.250), Pr at (0.000, 0.353, 0.092), Ga at (0.000, 0.359, 0.621), Si at (0.000, 0.072, 0.055) and Si at (0.000, 0.221, 0.750).

5.
## Pr2Ga3Si (GGA-PBE)

Data for Pr2Ga3Si after structural relaxation.

The calculation puts the formation energy (no corrections) at -0.71 eV/atom. Its total energy is -226.63 eV/cell. As for the crystal system: orthorhombic.

The space group is Fmmm (No. 69) and the conventional cell measures 8.467, 8.662 and 14.640 Å, with angles of 90.00, 90.00 and 90.00 degrees. The inequivalent atoms are Pr at (0.000, 0.247, 0.000), Pr at (0.250, 0.250, 0.250), Ga at (0.000, 0.000, 0.332), Ga at (0.249, 0.000, 0.084) and Si at (0.000, 0.000, 0.167).

6.
## Pr8GaSi2 (GGA-PBE)

Data for Pr8GaSi2 after structural relaxation.

The calculation puts the formation energy (no corrections) at -0.31 eV/atom. Its total energy is -110.95 eV/cell. As for the crystal system: monoclinic.

The space group is C2/m (No. 12) and the conventional cell measures 19.150, 4.949 and 7.192 Å, with angles of 90.00, 104.04 and 90.00 degrees. The inequivalent atoms are Pr at (0.023, 0.000, 0.271), Pr at (0.094, 0.500, 0.977), Pr at (0.164, 0.500, 0.486), Pr at (0.211, 0.000, 0.829), Ga at (0.000, 0.500, 0.500) and Si at (0.183, 0.000, 0.237).

7.
## Pr3Ga2Si (GGA-PBE)

Data for Pr3Ga2Si after structural relaxation.

The calculation puts the formation energy (no corrections) at -0.58 eV/atom. Its total energy is -117.26 eV/cell. As for the crystal system: orthorhombic.

The space group is Pnma (No. 62) and the conventional cell measures 12.310, 4.136 and 12.545 Å, with angles of 90.00, 90.00 and 90.00 degrees. The inequivalent atoms are Pr at (0.065, 0.250, 0.123), Pr at (0.116, 0.750, 0.553), Pr at (0.206, 0.250, 0.787), Ga at (0.027, 0.750, 0.311), Ga at (0.190, 0.750, 0.983) and Si at (0.133, 0.250, 0.370).

8.
## Pr7Ga2Si2 (GGA-PBE)

Data for Pr7Ga2Si2 after structural relaxation.

The calculation puts the formation energy (no corrections) at -0.19 eV/atom. Its total energy is -104.98 eV/cell. As for the crystal system: orthorhombic.

The space group is Cmmm (No. 65) and the conventional cell measures 7.721, 11.212 and 7.573 Å, with angles of 90.00, 90.00 and 90.00 degrees. The inequivalent atoms are Pr at (0.000, 0.000, 0.000), Pr at (0.000, 0.500, 0.261), Pr at (0.250, 0.250, 0.293), Ga at (0.000, 0.288, 0.000) and Si at (0.158, 0.000, 0.500).

9.
## PrGa2Si (GGA-PBE)

Data for PrGa2Si after structural relaxation.

The calculation puts the formation energy (no corrections) at -0.31 eV/atom. Its total energy is -52.52 eV/cell. As for the crystal system: trigonal.

The space group is R-3m (No. 166, hexagonal axes) and the conventional cell measures 4.3650, 4.3650 and 15.5664 Å, with angles of 90.00, 90.00 and 120.00 degrees. The inequivalent atoms are Pr at (0.0000, 0.0000, 0.0000), Ga at (0.0000, 0.0000, 0.2147) and Si at (0.0000, 0.0000, 0.5000).

10.
## Pr12GaSi5 (GGA-PBE)

Data for Pr12GaSi5 after structural relaxation.

The calculation puts the formation energy (no corrections) at -0.47 eV/atom. Its total energy is -191.81 eV/cell. As for the crystal system: orthorhombic.

The space group is Immm (No. 71) and the conventional cell measures 9.865, 10.124 and 10.445 Å, with angles of 90.00, 90.00 and 90.00 degrees. The inequivalent atoms are Pr at (0.000, 0.198, 0.243), Pr at (0.209, 0.500, 0.177), Pr at (0.233, 0.321, 0.500), Ga at (0.000, 0.000, 0.500), Si at (0.000, 0.000, 0.000), Si at (0.000, 0.377, 0.000) and Si at (0.000, 0.500, 0.387).

11.
## PrGaSi2 (GGA-PBE)

Data for PrGaSi2 after structural relaxation.

The calculation puts the formation energy (no corrections) at -0.20 eV/atom. Its total energy is -38.90 eV/cell. As for the crystal system: orthorhombic.

The space group is Cmmm (No. 65) and the conventional cell measures 5.062, 8.752 and 3.941 Å, with angles of 90.00, 90.00 and 90.00 degrees. The inequivalent atoms are Pr at (0.000, 0.000, 0.000), Ga at (0.000, 0.500, 0.500) and Si at (0.250, 0.250, 0.500).

12.
## Pr3Ga2Si2 (GGA-PBE)

Data for Pr3Ga2Si2 after structural relaxation.

The calculation puts the formation energy (no corrections) at -0.71 eV/atom. Its total energy is -72.49 eV/cell. As for the crystal system: orthorhombic.

The space group is Immm (No. 71) and the conventional cell measures 4.078, 4.437 and 18.689 Å, with angles of 90.00, 90.00 and 90.00 degrees. The inequivalent atoms are Pr at (0.000, 0.000, 0.000), Pr at (0.000, 0.500, 0.314), Ga at (0.000, 0.000, 0.434) and Si at (0.000, 0.500, 0.143).